Here is an optimized crystal structure of Li2La2Co15 from Alexandria. Energies are from PBE.

Properties
The calculated density comes out at 7.7 g/cm3. As for the energy relative to the elements: -0.018 eV/atom. As for the space-group type: No. 166. The density of states at the Fermi level comes out at 23.64 states/eV per cell.

Structure (extended XYZ):
```
19
Lattice="6.3101 -0.0736 0.7423 0.6515 6.2768 0.7423 -0.0826 -0.0736 6.3531" Properties=species:S:1:pos:R:3 pbc="T T T"
Co 2.2719 4.4582 0.7423
Co 1.7480 -0.0736 4.7463
Co 3.1550 -0.0368 0.3711
Co 1.3367 4.0595 4.7696
Co 4.1862 0.8616 4.7696
Co 0.4412 4.4582 2.3490
Co 2.3231 2.0700 5.8935
Co 0.1276 1.7449 4.7463
Co 2.6928 5.2679 3.0680
Co 0.3257 3.1384 0.3711
Co 5.5423 2.0700 3.0680
Co 4.6896 1.7449 0.7423
Co 4.5558 4.0595 1.9441
Co -0.0413 -0.0368 3.1765
Co 4.4794 -0.0736 2.3490
La 4.5121 4.0205 5.1409
La 2.3669 2.1090 2.6967
Li 0.6562 0.5847 0.7477
Li 6.2227 5.5448 7.0899
```

Here is an optimized crystal structure of HfMg3Sn from Alexandria. Energies are from PBE.

Properties
The calculated density comes out at 3.6 g/cm3. As for the energy relative to the elements: 1.135 eV/atom. As for the space-group type: No. 221. The energy above the lowest structure with this stoichiometry is 311 meV/atom. The density of states at the Fermi level comes out at 7.21 states/eV per cell.

Structure (extended XYZ):
```
5
Lattice="5.5331 0.0000 0.0000 0.0000 5.5331 0.0000 0.0000 0.0000 5.5331" Properties=species:S:1:pos:R:3 pbc="T T T"
Hf 0.0000 0.0000 0.0000
Mg 0.0000 0.0000 2.7666
Mg 2.7666 0.0000 0.0000
Mg 0.0000 2.7666 0.0000
Sn 2.7666 2.7666 2.7666
```

Here is an optimized crystal structure of Tm2PdAu from Alexandria. Energies are from PBE.

Properties
The calculated density comes out at 11.0 g/cm3. As for the energy relative to the elements: -0.741 eV/atom. As for the space-group type: No. 160. The density of states at the Fermi level comes out at 1.98 states/eV per cell.

Structure (extended XYZ):
```
4
Lattice="-1.0643 -2.9023 2.4162 1.2543 -3.6591 -0.6571 5.9189 -0.9170 4.6912" Properties=species:S:1:pos:R:3 pbc="T T T"
Tm 1.5787 -1.8584 1.6487
Tm 4.4184 -1.2425 3.6393
Pd 3.0360 -3.7432 3.2122
Au 0.1303 -4.3735 1.1753
```

Here is an optimized crystal structure of Nd3YS6 from Alexandria. Energies are from PBE.

Properties
The calculated density comes out at 4.2 g/cm3. As for the space-group type: No. 148. For the raw formation energy, the calculation gives -2.05 eV/atom. The density of states at the Fermi level comes out at 0.00 states/eV per cell.

Structure (extended XYZ):
```
20
Lattice="8.2524 -0.0120 -0.0122 -0.1910 8.2502 -0.0122 -0.1910 -0.1952 8.2479" Properties=species:S:1:pos:R:3 pbc="T T T"
S 5.4940 0.5416 7.6000
S 0.4222 7.4761 5.6717
S 0.4052 2.3857 7.5134
S 7.4651 5.6573 0.7100
S 6.5130 3.6895 4.8622
S 2.3763 7.5015 0.6234
S 4.6367 6.6152 3.7964
S 1.3574 4.3535 3.3612
S 3.2336 1.4279 4.4270
S 3.5473 4.7148 6.6977
S 7.4481 0.5670 2.5518
S 4.3231 3.3282 1.5257
Y 3.9352 4.0215 4.1117
Y 0.0000 0.0000 0.0000
Nd 5.9396 3.3813 7.6097
Nd 7.4022 6.1017 3.5492
Nd 1.9307 4.6618 0.6137
Nd 3.2516 7.4745 6.1789
Nd 4.6188 0.5685 2.0445
Nd 0.4682 1.9413 4.6742
```

Repeat the second record exactly.
Here is an optimized crystal structure of HfMg3Sn from Alexandria. Energies are from PBE.

Properties
The calculated density comes out at 3.6 g/cm3. As for the energy relative to the elements: 1.135 eV/atom. As for the space-group type: No. 221. The energy above the lowest structure with this stoichiometry is 311 meV/atom. The density of states at the Fermi level comes out at 7.21 states/eV per cell.

Structure (extended XYZ):
```
5
Lattice="5.5331 0.0000 0.0000 0.0000 5.5331 0.0000 0.0000 0.0000 5.5331" Properties=species:S:1:pos:R:3 pbc="T T T"
Hf 0.0000 0.0000 0.0000
Mg 0.0000 0.0000 2.7666
Mg 2.7666 0.0000 0.0000
Mg 0.0000 2.7666 0.0000
Sn 2.7666 2.7666 2.7666
```

Q: Number 4 is which compound?
A: Nd3YS6

Please write out number 4 again, unchanged.
Here is an optimized crystal structure of Nd3YS6 from Alexandria. Energies are from PBE.

Properties
The calculated density comes out at 4.2 g/cm3. As for the space-group type: No. 148. For the raw formation energy, the calculation gives -2.05 eV/atom. The density of states at the Fermi level comes out at 0.00 states/eV per cell.

Structure (extended XYZ):
```
20
Lattice="8.2524 -0.0120 -0.0122 -0.1910 8.2502 -0.0122 -0.1910 -0.1952 8.2479" Properties=species:S:1:pos:R:3 pbc="T T T"
S 5.4940 0.5416 7.6000
S 0.4222 7.4761 5.6717
S 0.4052 2.3857 7.5134
S 7.4651 5.6573 0.7100
S 6.5130 3.6895 4.8622
S 2.3763 7.5015 0.6234
S 4.6367 6.6152 3.7964
S 1.3574 4.3535 3.3612
S 3.2336 1.4279 4.4270
S 3.5473 4.7148 6.6977
S 7.4481 0.5670 2.5518
S 4.3231 3.3282 1.5257
Y 3.9352 4.0215 4.1117
Y 0.0000 0.0000 0.0000
Nd 5.9396 3.3813 7.6097
Nd 7.4022 6.1017 3.5492
Nd 1.9307 4.6618 0.6137
Nd 3.2516 7.4745 6.1789
Nd 4.6188 0.5685 2.0445
Nd 0.4682 1.9413 4.6742
```

Q: Which of these has the highest calculated density?
A: Tm2PdAu